w | A plane-wave DFT calculation with PBE was carried out for a relaxed structure of InPICl2.

Unit cell a=5.0069 b=5.0069 c=5.8452 alpha=90.00 beta=90.00 gamma=90.00
Fractional positions:
P 0.0000 0.0000 0.5000
I 0.5000 0.5000 0.5000
Cl 0.5000 0.0000 0.0000
Cl 0.0000 0.5000 0.0000
In 0.0000 0.0000 0.0000

=====

x | A plane-wave DFT calculation with PBE was carried out for a relaxed structure of InPICl2.

Unit cell a=5.8801 b=5.8801 c=5.3258 alpha=90.00 beta=90.00 gamma=90.00
Fractional positions:
Cl 0.5000 0.0000 0.0000
Cl 0.0000 0.5000 0.0000
P 0.0000 0.0000 0.5000
I 0.0000 0.0000 0.0000
In 0.5000 0.5000 0.5000

=====

Energy ordering: w at the bottom, the next structure 338 meV/atom above.

=====

w | A plane-wave DFT calculation with PBE was carried out for a relaxed structure of InPbI2Cl.

Unit cell a=6.3623 b=6.3623 c=5.5751 alpha=90.00 beta=90.00 gamma=90.00
Fractional positions:
In 0.5000 0.5000 0.5000
Cl 0.0000 0.0000 0.5000
I 0.0000 0.5000 0.0000
I 0.5000 0.0000 0.0000
Pb 0.0000 0.0000 0.0000

=====

x | A plane-wave DFT calculation with PBE was carried out for a relaxed structure of InPbI2Cl.

Unit cell a=4.6650 b=7.9964 c=10.8980 alpha=90.00 beta=90.00 gamma=106.96
Fractional positions:
I 0.6422 0.2844 0.5590
I 0.6422 0.2844 0.9410
I 0.3578 0.7156 0.0590
I 0.3578 0.7156 0.4410
In 0.7179 0.4358 0.2500
In 0.2821 0.5642 0.7500
Cl 0.9249 0.8498 0.7500
Cl 0.0751 0.1502 0.2500
Pb 0.0000 0.0000 0.5000
Pb 0.0000 0.0000 0.0000

=====

Energy ordering: x at the bottom, the next structure 118 meV/atom above.

=====

w | A plane-wave DFT calculation with PBE was carried out for a relaxed structure of InS2ICl.

Unit cell a=5.2061 b=5.2061 c=5.5770 alpha=90.00 beta=90.00 gamma=90.00
Fractional positions:
I 0.0000 0.0000 0.0000
S 0.5000 0.0000 0.0000
S 0.0000 0.5000 0.0000
In 0.5000 0.5000 0.5000
Cl 0.0000 0.0000 0.5000

=====

x | A plane-wave DFT calculation with PBE was carried out for a relaxed structure of InS2ICl.

Unit cell a=5.2482 b=5.2482 c=5.0079 alpha=90.00 beta=90.00 gamma=90.00
Fractional positions:
S 0.5000 0.0000 0.0000
S 0.0000 0.5000 0.0000
Cl 0.0000 0.0000 0.5000
I 0.5000 0.5000 0.5000
In 0.0000 0.0000 0.0000

=====

Energy ordering: x at the bottom, the next structure 76 meV/atom above.